DFT (PBE-GGA) results for a relaxed Fe5H12Pt3 crystal.

Results
The value obtained for the energy is -0.1752 Ha/atom. Its space group is Ia-3d (230).

```
Fe5H12Pt3
1.0
9.177 0.000 0.000
-3.059 8.652 0.000
-3.059 -4.326 7.493
Pt Fe H
12 20 48
direct
0.750 0.375 0.125 Pt
0.875 0.750 0.125 Pt
0.375 0.750 0.625 Pt
0.250 0.125 0.375 Pt
0.875 0.125 0.250 Pt
0.375 0.625 0.250 Pt
0.625 0.375 0.750 Pt
0.125 0.875 0.750 Pt
0.750 0.875 0.625 Pt
0.625 0.250 0.375 Pt
0.125 0.250 0.875 Pt
0.250 0.625 0.875 Pt
0.125 0.375 0.250 Fe
0.000 0.500 0.000 Fe
0.000 0.000 0.000 Fe
0.375 0.250 0.125 Fe
0.500 0.000 0.500 Fe
0.500 0.500 0.000 Fe
0.125 0.750 0.375 Fe
0.750 0.125 0.875 Fe
0.750 0.625 0.375 Fe
0.375 0.125 0.750 Fe
0.625 0.875 0.250 Fe
0.500 0.500 0.500 Fe
0.500 0.000 0.000 Fe
0.000 0.000 0.500 Fe
0.250 0.375 0.625 Fe
0.250 0.875 0.125 Fe
0.000 0.500 0.500 Fe
0.875 0.250 0.625 Fe
0.625 0.750 0.875 Fe
0.875 0.625 0.750 Fe
0.714 0.126 0.046 H
0.333 0.546 0.420 H
0.954 0.374 0.286 H
0.546 0.214 0.126 H
0.588 0.714 0.667 H
0.954 0.580 0.167 H
0.333 0.786 0.412 H
0.080 0.912 0.126 H
0.580 0.954 0.667 H
0.714 0.588 0.167 H
0.786 0.454 0.374 H
0.833 0.920 0.046 H
0.126 0.714 0.546 H
0.374 0.420 0.088 H
0.088 0.920 0.374 H
0.412 0.126 0.580 H
0.088 0.167 0.214 H
0.454 0.667 0.080 H
0.833 0.912 0.286 H
0.126 0.412 0.080 H
0.374 0.954 0.786 H
0.580 0.626 0.412 H
0.920 0.833 0.546 H
0.786 0.333 0.912 H
0.420 0.374 0.588 H
0.080 0.167 0.454 H
0.214 0.667 0.088 H
0.167 0.088 0.714 H
0.626 0.046 0.214 H
0.874 0.588 0.920 H
0.546 0.333 0.920 H
0.588 0.874 0.420 H
0.912 0.833 0.786 H
0.912 0.080 0.626 H
0.874 0.286 0.454 H
0.167 0.080 0.954 H
0.626 0.580 0.912 H
0.420 0.046 0.333 H
0.286 0.412 0.833 H
0.214 0.546 0.626 H
0.920 0.088 0.874 H
0.667 0.214 0.588 H
0.454 0.786 0.874 H
0.046 0.420 0.833 H
0.412 0.286 0.333 H
0.046 0.626 0.714 H
0.667 0.454 0.580 H
0.286 0.874 0.954 H
```

---

DFT (PBE-GGA) results for a relaxed TlCrBr2 crystal.

Results
The value obtained for the energy is -0.1516 Ha/atom. The value obtained for the formation energy from raw total energies is -0.291 eV/atom. As for the energy above the lowest structure with this stoichiometry: 91.2 meV per atom. Its space group is Imm2 (44).

```
TlCrBr2
1.0
-6.126 -1.191 5.641
-7.476 -3.708 1.059
8.090 0.333 -2.280
Br Cr Tl
2 1 1
direct
0.021 0.021 0.000 Br
0.328 0.828 0.500 Br
0.456 0.456 0.000 Cr
0.695 0.195 0.500 Tl
```

---

DFT (PBE-GGA) results for a relaxed DyMnP2Rh5 crystal.

Results
The value obtained for the formation energy is -332 meV/atom. The value obtained for the energy is -0.2627 Ha/atom. Its space group is P4/mmm (123).

```
DyMnP2Rh5
1.0
4.332 0.000 0.000
0.000 4.332 0.000
0.000 0.000 9.512
Dy Mn P Rh
1 1 2 5
direct
0.500 0.500 0.500 Dy
0.000 0.000 0.000 Mn
0.000 0.000 0.238 P
0.000 0.000 0.762 P
0.000 0.000 0.500 Rh
0.000 0.500 0.709 Rh
0.500 0.000 0.291 Rh
0.000 0.500 0.291 Rh
0.500 0.000 0.709 Rh
```

---

DFT (PBE-GGA) results for a relaxed LiPuAu11 crystal.

Results
The value obtained for the formation energy is -196 meV/atom. The value obtained for the energy is -0.1551 Ha/atom. Its space group is C2/m (12).

```
LiPuAu11
1.0
5.065 0.013 2.110
2.500 6.657 1.041
-0.091 0.007 7.354
Li Pu Au
1 1 11
direct
0.500 0.500 0.000 Li
0.000 0.000 0.000 Pu
0.299 0.218 0.208 Au
0.701 0.782 0.792 Au
0.494 0.782 0.208 Au
0.506 0.218 0.792 Au
0.359 0.644 0.663 Au
0.641 0.356 0.337 Au
0.978 0.356 0.663 Au
0.022 0.644 0.337 Au
0.000 0.500 0.000 Au
0.500 0.000 0.500 Au
0.000 0.000 0.500 Au
```